# CrSiH12O6F6, relaxed, DFT PBE+U
# Raw total energy in eV/atom: -5.24
data_CrSiH12O6F6
_cell_length_a 9.6538
_cell_length_b 9.6538
_cell_length_c 9.8482
_cell_angle_alpha 90.00
_cell_angle_beta 90.00
_cell_angle_gamma 120.00
_space_group_name_H-M_alt 'R -3'
_space_group_IT_number 148
_space_group_name_Hall '-R 3'
loop_
_atom_site_label
_atom_site_type_symbol
_atom_site_fract_x
_atom_site_fract_y
_atom_site_fract_z
Cr1 Cr 0.0000 0.0000 0.0000
Si1 Si 0.0000 0.0000 0.5000
H1 H 0.0150 0.8316 0.7753
H2 H 0.0326 0.4597 0.7826
O1 O 0.0089 0.1887 0.1274
F1 F 0.0600 0.8940 0.6008